Entry 1:
## NdSm3Hg4 (PBE)

Data for crystalline NdSm3Hg4 at its relaxed geometry.

The calculation puts the relative energy among the computed polymorphs at 0.0 meV/atom. The total magnetic moment is 1.7 μB/f.u. The calculated total energy is -23.92 eV for the cell shown. The value obtained for the formation energy from the elements is -473 meV per atom.

Unit cell a=5.356 b=5.356 c=7.685 alpha=90.00 beta=90.00 gamma=90.00
Space group P4/mmm (No. 123)
One atom of each set of equivalent atoms:
Nd (0.000, 0.000, 0.000) x1
Sm (0.000, 0.000, 0.500) x1
Sm (0.500, 0.500, 0.000) x1
Sm (0.500, 0.500, 0.500) x1
Hg (0.000, 0.500, 0.253) x4



Entry 2:
## Li2ScTeH (PBE)

Data for crystalline Li2ScTeH at its relaxed geometry.

The total magnetic moment is 0.0 μB/f.u. The calculated total energy is -19.52 eV for the cell shown.

Unit cell a=4.229 b=4.229 c=4.271 alpha=90.00 beta=90.00 gamma=90.00
Space group P4/mmm (No. 123)
One atom of each set of equivalent atoms:
Li (0.000, 0.500, 0.000) x2
Sc (0.000, 0.000, 0.500) x1
Te (0.500, 0.500, 0.500) x1
H (0.000, 0.000, 0.000) x1



Entry 3:
## AlV6Cr5 (PBE)

Data for crystalline AlV6Cr5 at its relaxed geometry.

The total magnetic moment is 0.0 μB/f.u. The calculated total energy is -215.62 eV for the cell shown. The value obtained for the formation energy from the elements is -103 meV per atom.

Unit cell a=4.139 b=5.891 c=12.479 alpha=90.00 beta=90.00 gamma=90.00
Space group Immm (No. 71)
One atom of each set of equivalent atoms:
Al (0.000, 0.000, 0.000) x2
V (0.000, 0.235, 0.500) x4
V (0.000, 0.256, 0.171) x8
Cr (0.000, 0.000, 0.331) x4
Cr (0.000, 0.500, 0.000) x2
Cr (0.000, 0.500, 0.340) x4



Entry 4:
## Tb4CeSc3Se8 (PBE)

Data for crystalline Tb4CeSc3Se8 at its relaxed geometry.

The total magnetic moment is 0.5 μB/f.u. The calculated total energy is -295.23 eV for the cell shown. The energy relative to the elements, uncorrected is -1.693 eV/atom.

Unit cell a=8.0624 b=8.0624 c=19.7466 alpha=90.00 beta=90.00 gamma=120.00
Space group R-3m (No. 166, hexagonal axes)
One atom of each set of equivalent atoms:
Tb (0.0000, 0.0000, 0.0000) x3
Tb (0.0000, 0.5000, 0.0000) x9
Ce (0.0000, 0.0000, 0.5000) x3
Sc (0.0000, 0.5000, 0.5000) x9
Se (0.0000, 0.0000, 0.2444) x6
Se (0.0106, 0.5053, 0.7530) x18



Q: Which formula does entry 4 have?
A: Tb4CeSc3Se8



Q: Which formula does entry 4 have?
A: Tb4CeSc3Se8